Entry 1:
First-principles (PBE) data for an optimized crystal structure of LaPrO3, as listed in the Alexandria database.

Lattice parameters (Å, degrees): 3.2624 6.3325 6.3335 60.01 90.00 90.00
Positions (direct):
O (0.7202, 0.2653, 0.7308)
O (0.7201, 0.2651, 0.2280)
O (0.7201, 0.7680, 0.2277)
Pr (0.2201, 0.0994, 0.0622)
La (0.2202, 0.4328, 0.3955)

Values from the calculation:
ΔE_f (raw) ... -3.17 eV per atom



Entry 2:
First-principles (PBE) data for an optimized crystal structure of SmVRe, as listed in the Alexandria database.

Lattice parameters (Å, degrees): 3.7823 4.3371 8.0262 90.00 103.63 90.00
Positions (direct):
Sm (0.9152, 0.2500, 0.8304)
Sm (0.0848, 0.7500, 0.1696)
V (0.2532, 0.2500, 0.5063)
V (0.7468, 0.7500, 0.4937)
Re (0.6550, 0.2500, 0.3101)
Re (0.3450, 0.7500, 0.6899)

Values from the calculation:
E_form ... 147 meV/atom